1.
! CsZnB2Ru, optimized geometry, DFT PBEsol; values from VASP
&SYSTEM
  ibrav = 0, nat = 5, ntyp = 4
/
ATOMIC_SPECIES
Ru 101.07 Ru.upf
B 10.81 B.upf
Cs 132.91 Cs.upf
Zn 65.41 Zn.upf
CELL_PARAMETERS angstrom
-2.514 -3.078 -1.335
0.877 -2.213 3.451
-4.369 2.415 2.660
ATOMIC_POSITIONS crystal
Ru 0.000 0.000 0.000
B 0.000 0.500 0.000
B 0.500 0.000 0.000
Cs 0.000 0.000 0.500
Zn 0.500 0.500 0.500
! VASP energy, eV per atom: -4.13
! DOS(E_F), states/eV per atom: 0.5050

2.
! BaZrBi3, optimized geometry, DFT PBEsol; values from VASP
&SYSTEM
  ibrav = 0, nat = 5, ntyp = 3
/
ATOMIC_SPECIES
Ba 137.33 Ba.upf
Bi 208.98 Bi.upf
Zr 91.22 Zr.upf
CELL_PARAMETERS angstrom
-5.627 -0.506 -0.348
0.613 -4.397 -3.510
0.044 -3.527 4.426
ATOMIC_POSITIONS crystal
Ba 0.500 0.500 0.500
Bi 0.000 0.000 0.500
Bi 0.500 0.000 0.000
Bi 0.000 0.500 0.000
Zr 0.000 0.000 0.000
! VASP energy, eV per atom: -5.16
! DOS(E_F), states/eV per atom: 0.7421